Compound: BaVClO3
Source: Alexandria via LeMat-Bulk
Functional: PBE with a Hubbard U
Structure: relaxed

Uncorrected energy in eV for the cell shown: -160.00
Spin magnetization in μB/atom: 0.00
Calculated density in g/cm3: 4.201
DOS(E_F) in states/eV/f.u.: 0.000

a = 5.355 Å, b = 7.518 Å, c = 10.671 Å
α = 90.00°, β = 90.00°, γ = 90.00°
Fractional coordinates of all 24 atoms:
Ba 0.750 0.598 0.308
Ba 0.250 0.402 0.692
Ba 0.250 0.098 0.192
Ba 0.750 0.902 0.808
V 0.250 0.947 0.538
V 0.250 0.553 0.038
V 0.750 0.053 0.462
V 0.750 0.447 0.962
Cl 0.750 0.925 0.107
Cl 0.250 0.425 0.393
Cl 0.250 0.075 0.893
Cl 0.750 0.575 0.607
O 0.994 0.406 0.094
O 0.494 0.906 0.406
O 0.506 0.094 0.594
O 0.006 0.906 0.406
O 0.750 0.279 0.862
O 0.250 0.721 0.138
O 0.494 0.594 0.906
O 0.506 0.406 0.094
O 0.994 0.094 0.594
O 0.750 0.221 0.362
O 0.250 0.779 0.638
O 0.006 0.594 0.906